(1)
Here is a geometry-optimized Zn7Ag2Au structure from Alexandria via LeMat-Bulk. Energies are from PBE.

Unit cell a=6.7602 b=6.7602 c=6.7602 alpha=60.00 beta=60.00 gamma=60.00
With the nearest neighbours (Å) after each atom.
Positions (direct):
Zn 0.5000 0.5000 0.5000  6 Zn 2.33
Zn 0.2558 0.2558 0.7442  1 Zn 2.33, 1 Au 2.45
Zn 0.2558 0.7442 0.7442  1 Zn 2.33, 1 Au 2.45
Zn 0.7442 0.2558 0.7442  1 Zn 2.33, 1 Au 2.45
Zn 0.7442 0.7442 0.2558  1 Zn 2.33, 1 Au 2.45
Ag 0.2500 0.2500 0.2500  12 Zn 3.38
Au 0.0000 0.0000 0.0000  6 Zn 2.45
Ag 0.7500 0.7500 0.7500  12 Zn 3.38
Zn 0.2558 0.7442 0.2558  1 Zn 2.33, 1 Au 2.45
Zn 0.7442 0.2558 0.2558  1 Zn 2.33, 1 Au 2.45

## Properties
E above lowest polymorph ... 389.0 meV/atom
Calculated volume ... 21.846 A^3/atom
Calculated formation energy ... 0.364 eV/atom
Total moment ... 0.0 Bohr magnetons per cell
Energy ... -14.3 eV/f.u.
Space group ... Fm-3m, No. 225

---

(2)
Here is a geometry-optimized DyZr2Fe structure from Alexandria via LeMat-Bulk. Energies are from PBE.

Unit cell a=3.2590 b=3.2590 c=8.1172 alpha=90.00 beta=90.00 gamma=90.00
With the nearest neighbours (Å) after each atom.
Positions (direct):
Dy 0.5000 0.5000 0.5000  4 Dy 3.26, 8 Zr 3.43
Fe 0.5000 0.5000 0.0000  8 Zr 2.76
Zr 0.0000 0.0000 0.8127  4 Fe 2.76, 1 Zr 3.04
Zr 0.0000 0.0000 0.1873  4 Fe 2.76, 1 Zr 3.04

## Properties
E above lowest polymorph ... 0.0 meV/atom
Calculated volume ... 21.553 A^3/atom
Calculated formation energy ... 0.047 eV/atom
Total moment ... 0.5 Bohr magnetons per cell
Energy ... -30.0 eV/f.u.
Space group ... P4/mmm, No. 123

---

(3)
Here is a geometry-optimized TmGa2Rh2 structure from Alexandria via LeMat-Bulk. Energies are from PBE.

Unit cell a=4.4275 b=4.5992 c=8.7245 alpha=82.01 beta=90.00 gamma=90.00
With the nearest neighbours (Å) after each atom.
Positions (direct):
Rh 0.7500 0.7494 0.4867  4 Ga 2.55-2.58
Rh 0.2500 0.8725 0.8995  5 Ga 2.44-2.52
Rh 0.7500 0.1275 0.1005  5 Ga 2.44-2.52
Rh 0.2500 0.2506 0.5133  4 Ga 2.55-2.58
Ga 0.2500 0.3394 0.0015  4 Rh 2.44-2.52, 2 Ga 2.66
Tm 0.7500 0.2098 0.7346  7 Rh 2.93-3.23, 4 Ga 3.17-3.24
Ga 0.7500 0.2830 0.3593  5 Rh 2.46-2.58
Tm 0.2500 0.7902 0.2653  7 Rh 2.93-3.23, 4 Ga 3.17-3.24
Ga 0.7500 0.6606 0.9985  4 Rh 2.44-2.52, 2 Ga 2.66
Ga 0.2500 0.7170 0.6407  5 Rh 2.46-2.58

## Properties
Calculated volume ... 17.593 A^3/atom
Calculated formation energy ... -0.799 eV/atom
Total moment ... 0.0 Bohr magnetons per cell
Energy ... -29.2 eV/f.u.
Space group ... P2_1/m, No. 11

---

(4)
Here is a geometry-optimized NaAl2Au structure from Alexandria via LeMat-Bulk. Energies are from PBE.

Unit cell a=5.4501 b=7.3574 c=15.6848 alpha=90.00 beta=90.00 gamma=90.00
With the nearest neighbours (Å) after each atom.
Positions (direct):
Na 0.7347 0.2500 0.3914  3 Au 2.87-3.05, 4 Al 3.19-3.21
Au 0.7834 0.7500 0.6827  6 Al 2.60-2.72, 1 Na 2.87
Al 0.0629 0.9429 0.7886  3 Au 2.60-2.66, 1 Al 2.84
Al 0.7418 0.9432 0.0348  3 Au 2.64-2.72, 1 Al 2.84
Al 0.5629 0.4429 0.7114  3 Au 2.60-2.66, 1 Al 2.84
Au 0.4703 0.7500 0.4301  6 Al 2.64-2.68, 1 Na 2.88
Na 0.9576 0.7500 0.3589  3 Au 2.88-3.06, 4 Al 3.17-3.21
Al 0.4371 0.5571 0.2886  3 Au 2.60-2.66, 1 Al 2.84
Al 0.2582 0.0568 0.9652  3 Au 2.64-2.72, 1 Al 2.84
Au 0.5297 0.2500 0.5699  6 Al 2.64-2.68, 1 Na 2.88
Al 0.2582 0.4432 0.9652  3 Au 2.64-2.72, 1 Al 2.84
Na 0.0424 0.2500 0.6411  3 Au 2.88-3.06, 4 Al 3.17-3.21
Al 0.7582 0.9432 0.5348  3 Au 2.64-2.72, 1 Al 2.84
Au 0.0297 0.7500 0.9301  6 Al 2.64-2.68, 1 Na 2.88
Al 0.9371 0.0571 0.2114  3 Au 2.60-2.66, 1 Al 2.84
Al 0.5629 0.0571 0.7114  3 Au 2.60-2.66, 1 Al 2.84
Al 0.4371 0.9429 0.2886  3 Au 2.60-2.66, 1 Al 2.84
Al 0.0629 0.5571 0.7886  3 Au 2.60-2.66, 1 Al 2.84
Na 0.5424 0.7500 0.8589  3 Au 2.88-3.06, 4 Al 3.17-3.21
Al 0.7418 0.5568 0.0348  3 Au 2.64-2.72, 1 Al 2.84
Au 0.9703 0.2500 0.0699  6 Al 2.64-2.68, 1 Na 2.88
Na 0.4576 0.2500 0.1411  3 Au 2.88-3.06, 4 Al 3.17-3.21
Na 0.7653 0.2500 0.8914  3 Au 2.87-3.05, 4 Al 3.19-3.21
Na 0.2653 0.7500 0.6086  3 Au 2.87-3.05, 4 Al 3.19-3.21
Al 0.7582 0.5568 0.5348  3 Au 2.64-2.72, 1 Al 2.84
Al 0.2418 0.4432 0.4652  3 Au 2.64-2.72, 1 Al 2.84
Al 0.2418 0.0568 0.4652  3 Au 2.64-2.72, 1 Al 2.84
Au 0.2166 0.2500 0.3173  6 Al 2.60-2.72, 1 Na 2.87
Al 0.9371 0.4429 0.2114  3 Au 2.60-2.66, 1 Al 2.84
Au 0.2834 0.2500 0.8173  6 Al 2.60-2.72, 1 Na 2.87
Au 0.7166 0.7500 0.1827  6 Al 2.60-2.72, 1 Na 2.87
Na 0.2347 0.7500 0.1086  3 Au 2.87-3.05, 4 Al 3.19-3.21

## Properties
Calculated volume ... 19.654 A^3/atom
Calculated formation energy ... -0.274 eV/atom
Total moment ... 0.0 Bohr magnetons per cell
Energy ... -13.2 eV/f.u.
Space group ... Pnma, No. 62

---

(5)
Here is a geometry-optimized AcZnCdAu3 structure from Alexandria via LeMat-Bulk. Energies are from PBE.

Unit cell a=7.0925 b=6.3015 c=7.1509 alpha=116.14 beta=90.00 gamma=90.00
With the nearest neighbours (Å) after each atom.
Positions (direct):
Au 0.0000 0.2693 0.0000  2 Zn 2.57, 2 Cd 2.87
Au 0.5000 0.7307 0.0000  2 Zn 2.57, 2 Cd 2.87
Ac 0.7500 0.3105 0.6209  6 Au 3.19-3.34, 1 Zn 3.21
Au 0.0000 0.7307 0.0000  2 Zn 2.57, 2 Cd 2.87
Zn 0.7500 0.0601 0.1202  5 Au 2.57-2.73
Au 0.7500 0.8477 0.6954  1 Zn 2.73, 1 Cd 2.73
Cd 0.2500 0.3651 0.7302  5 Au 2.73-2.87
Zn 0.2500 0.9399 0.8798  5 Au 2.57-2.73
Au 0.2500 0.1523 0.3046  1 Zn 2.73, 1 Cd 2.73
Ac 0.2500 0.6895 0.3791  6 Au 3.19-3.34, 1 Zn 3.21
Cd 0.7500 0.6349 0.2698  5 Au 2.73-2.87
Au 0.5000 0.2693 0.0000  2 Zn 2.57, 2 Cd 2.87

## Properties
Calculated volume ... 23.908 A^3/atom
Calculated formation energy ... -0.359 eV/atom
Total moment ... 0.0 Bohr magnetons per cell
Energy ... -18.3 eV/f.u.
Space group ... Cmcm, No. 63

---

(6)
Here is a geometry-optimized Mg6CdGa structure from Alexandria via LeMat-Bulk. Energies are from PBE.

Unit cell a=6.2874 b=6.2874 c=5.1078 alpha=90.00 beta=90.00 gamma=121.12
With the nearest neighbours (Å) after each atom.
Positions (direct):
Mg 0.1650 0.3415 0.0000  8 Mg 3.05-3.19, 2 Ga 3.06, 2 Cd 3.12-3.17
Ga 0.3451 0.6549 0.5000  10 Mg 3.06-3.22, 2 Cd 3.27
Mg 0.8378 0.6647 0.5000  2 Ga 3.07-3.22, 8 Mg 3.08-3.19, 2 Cd 3.08
Mg 0.6663 0.3337 0.0000  2 Cd 3.09, 10 Mg 3.11-3.18
Mg 0.8338 0.1662 0.5000  2 Ga 3.09, 10 Mg 3.11-3.17
Mg 0.6585 0.8350 0.0000  8 Mg 3.05-3.19, 2 Ga 3.06, 2 Cd 3.12-3.17
Mg 0.3353 0.1622 0.5000  2 Ga 3.07-3.22, 8 Mg 3.08-3.19, 2 Cd 3.08
Cd 0.1581 0.8419 0.0000  10 Mg 3.08-3.17, 2 Ga 3.27

## Properties
E above lowest polymorph ... 28.9 meV/atom
Calculated volume ... 21.607 A^3/atom
Calculated formation energy ... -0.048 eV/atom
Total moment ... 0.0 Bohr magnetons per cell
Energy ... -13.9 eV/f.u.
Space group ... Amm2, No. 38

---

(7)
Here is a geometry-optimized ReC structure from Alexandria via LeMat-Bulk. Energies are from PBE.

Unit cell a=2.8779 b=2.8779 c=5.6881 alpha=90.00 beta=90.00 gamma=120.00
With the nearest neighbours (Å) after each atom.
Positions (direct):
Re 0.0000 0.0000 0.5000  6 C 2.19
Re 0.0000 0.0000 0.0000  6 C 2.19
C 0.3333 0.6667 0.2500  6 Re 2.19
C 0.6667 0.3333 0.7500  6 Re 2.19

## Properties
E above lowest polymorph ... 98.9 meV/atom
Calculated volume ... 10.200 A^3/atom
Calculated formation energy ... 0.339 eV/atom
Total moment ... 0.0 Bohr magnetons per cell
Energy ... -21.0 eV/f.u.
Space group ... P6_3/mmc, No. 194

---

(8)
Here is a geometry-optimized PmNp2CrN4 structure from Alexandria via LeMat-Bulk. Energies are from PBE.

Unit cell a=3.3607 b=5.9931 c=11.3759 alpha=90.00 beta=90.00 gamma=106.28
With the nearest neighbours (Å) after each atom.
Positions (direct):
Np 0.3679 0.7359 0.9487  6 N 2.26-2.42
N 0.0000 0.0000 0.5000  4 Np 2.34
N 0.2679 0.5359 0.1201  1 Cr 1.94
Pm 0.1037 0.2073 0.7500  6 N 2.52-2.68
N 0.0000 0.0000 0.0000  4 Np 2.34
N 0.4399 0.8798 0.7500  2 Cr 2.03
Np 0.3679 0.7359 0.5513  6 N 2.26-2.42
N 0.7321 0.4641 0.8799  1 Cr 1.94
Pm 0.8963 0.7927 0.2500  6 N 2.52-2.68
Np 0.6321 0.2641 0.0513  6 N 2.26-2.42
N 0.7321 0.4641 0.6201  1 Cr 1.94
N 0.5601 0.1202 0.2500  2 Cr 2.03
Cr 0.8408 0.6817 0.7500  4 N 1.94-2.03
Cr 0.1592 0.3183 0.2500  4 N 1.94-2.03
N 0.2679 0.5359 0.3799  1 Cr 1.94
Np 0.6321 0.2641 0.4487  6 N 2.26-2.42

## Properties
Calculated volume ... 13.746 A^3/atom
Total moment ... 8.6 Bohr magnetons per cell
ΔE_f (raw) ... -791 kJ/mol of formula units
Energy ... -81.8 eV/f.u.
Space group ... Cmcm, No. 63